one:
The following is a GGA-PBE calculation of a relaxed NbTeMoPdI crystal, from Alexandria.

abc: 7.6943 7.6943 3.8904
angles: 99.17 99.17 32.05
Atoms (fractional coordinates):
Nb  0.0000  0.0000  0.0000
Te  0.3419  0.3419  0.8386
Mo  0.8755  0.8755  0.3276
Pd  0.4941  0.4941  0.5443
I  0.6449  0.6449  0.1849

Properties
* DOS(E_F): 1.24 states/eV/cell
* total magnetization: 0.000 μB/f.u.

---

two:
The following is a GGA-PBE calculation of a relaxed NbTeMoPdI crystal, from Alexandria.

abc: 3.5358 3.5388 9.7212
angles: 100.35 99.81 91.16
Atoms (fractional coordinates):
Nb  0.0000  0.0000  0.0000
Te  0.8284  0.8682  0.6883
Mo  0.3746  0.4754  0.8421
Pd  0.5582  0.5774  0.1376
I  0.1545  0.1453  0.3058

Properties
* DOS(E_F): 2.45 states/eV/cell
* total magnetization: 0.000 μB/f.u.

---

three:
The following is a GGA-PBE calculation of a relaxed NbTeMoPdI crystal, from Alexandria.

abc: 3.3789 3.3798 10.6200
angles: 90.00 90.15 90.00
Atoms (fractional coordinates):
Nb  0.0000  0.0000  0.0000
Te  0.0024  0.0000  0.2909
Mo  0.5010  0.5000  0.1393
Pd  0.4989  0.5000  0.8699
I  0.4981  0.5000  0.6216

Properties
* DOS(E_F): 3.54 states/eV/cell
* total magnetization: 0.000 μB/f.u.

---

four:
The following is a GGA-PBE calculation of a relaxed NbTeMoPdI crystal, from Alexandria.

abc: 3.9546 4.1733 7.1098
angles: 89.95 89.81 89.98
Atoms (fractional coordinates):
Nb  0.0000  0.0000  0.0000
Te  0.5019  0.0005  0.7101
Mo  0.5005  0.5000  0.9925
Pd  0.0024  0.5006  0.7138
I  0.9988  0.4996  0.2785

Properties
* DOS(E_F): 3.95 states/eV/cell
* total magnetization: 0.007 μB/f.u.

---

The computed energies, referenced to the most stable structure and given in meV/atom, are one 143; two 0; three 96; four 108.

---

one:
The following is a GGA-PBE calculation of a relaxed NbTeMoPdI crystal, from Alexandria.

abc: 8.5396 8.5396 3.4223
angles: 101.37 101.37 29.83
Atoms (fractional coordinates):
Nb  0.0000  0.0000  0.0000
Te  0.1483  0.1483  0.6457
Mo  0.5973  0.5973  0.0955
Pd  0.4608  0.4608  0.4613
I  0.8550  0.8550  0.3573

Properties
* DOS(E_F): 3.68 states/eV/cell
* total magnetization: 0.000 μB/f.u.

---

two:
The following is a GGA-PBE calculation of a relaxed NbTeMoPdI crystal, from Alexandria.

abc: 4.4842 3.5361 7.5263
angles: 90.00 97.88 90.00
Atoms (fractional coordinates):
Nb  0.0000  0.0000  0.0000
Te  0.4032  0.0000  0.6882
Mo  0.4478  0.5000  0.9681
Pd  0.8997  0.5000  0.7092
I  0.8496  0.5000  0.2807

Properties
* DOS(E_F): 1.48 states/eV/cell
* total magnetization: 0.000 μB/f.u.

---

The computed energies, referenced to the most stable structure and given in meV/atom, are one 10; two 0.

---

one:
The following is a GGA-PBE calculation of a relaxed NbTeMoPdI crystal, from Alexandria.

abc: 8.2636 8.2636 8.2636
angles: 154.79 149.60 39.89
Atoms (fractional coordinates):
Nb  0.0000  0.0000  0.0000
Te  0.6571  0.1571  0.5000
Mo  0.5192  0.5192  0.0000
Pd  0.1345  0.6345  0.5000
I  0.3723  0.8723  0.5000

Properties
* DOS(E_F): 2.27 states/eV/cell
* total magnetization: 0.000 μB/f.u.

---

two:
The following is a GGA-PBE calculation of a relaxed NbTeMoPdI crystal, from Alexandria.

abc: 3.5721 4.9521 6.9610
angles: 92.02 104.80 110.83
Atoms (fractional coordinates):
Nb  0.0000  0.0000  0.0000
Te  0.7701  0.2275  0.3160
Mo  0.3797  0.6365  0.1185
Pd  0.6735  0.7992  0.5404
I  0.6043  0.4047  0.7995

Properties
* DOS(E_F): 1.79 states/eV/cell
* total magnetization: 0.000 μB/f.u.

---

The computed energies, referenced to the most stable structure and given in meV/atom, are one 0; two 248.

---

one:
The following is a GGA-PBE calculation of a relaxed NiMoI2 crystal, from Alexandria.

abc: 7.3039 7.3039 7.3039
angles: 132.06 132.06 70.13
Atoms (fractional coordinates):
Ni  0.0000  0.0000  0.0000
Ni  0.7500  0.2500  0.5000
Mo  0.2500  0.7500  0.5000
Mo  0.5000  0.5000  0.0000
I  0.1047  0.6250  0.9797
I  0.3750  0.3547  0.4797
I  0.6453  0.1250  0.0203
I  0.8750  0.8953  0.5203

Properties
* DOS(E_F): 11.13 states/eV/cell
* total magnetization: 0.000 μB/f.u.

---

two:
The following is a GGA-PBE calculation of a relaxed NiMoI2 crystal, from Alexandria.

abc: 4.8006 4.8006 4.8006
angles: 60.00 60.00 60.00
Atoms (fractional coordinates):
Ni  0.0000  0.0000  0.0000
Mo  0.5000  0.5000  0.5000
I  0.2500  0.2500  0.2500
I  0.7500  0.7500  0.7500

Properties
* DOS(E_F): 4.31 states/eV/cell
* total magnetization: 0.360 μB/f.u.

---

The computed energies, referenced to the most stable structure and given in meV/atom, are one 0; two 162.

---

one:
The following is a GGA-PBE calculation of a relaxed NiSbMoI2 crystal, from Alexandria.

abc: 5.5798 5.5798 5.2509
angles: 90.00 90.00 90.00
Atoms (fractional coordinates):
Ni  0.0000  0.0000  0.0000
Sb  0.5000  0.5000  0.0000
Mo  0.5000  0.5000  0.5000
I  0.0000  0.5000  0.5000
I  0.5000  0.0000  0.5000

Properties
* DOS(E_F): 16.14 states/eV/cell
* total magnetization: 3.003 μB/f.u.

---

two:
The following is a GGA-PBE calculation of a relaxed NiSbMoI2 crystal, from Alexandria.

abc: 5.2854 5.2854 4.9881
angles: 90.00 90.00 90.00
Atoms (fractional coordinates):
Ni  0.0000  0.0000  0.0000
Sb  0.0000  0.0000  0.5000
Mo  0.5000  0.5000  0.5000
I  0.0000  0.5000  0.0000
I  0.5000  0.0000  0.0000

Properties
* DOS(E_F): 4.42 states/eV/cell
* total magnetization: 3.931 μB/f.u.

---

The computed energies, referenced to the most stable structure and given in meV/atom, are one 120; two 0.

---

one:
The following is a GGA-PBE calculation of a relaxed NiSb2MoI crystal, from Alexandria.

abc: 5.1460 5.1460 5.7316
angles: 90.00 90.00 90.00
Atoms (fractional coordinates):
Ni  0.0000  0.0000  0.0000
Sb  0.0000  0.5000  0.5000
Sb  0.5000  0.0000  0.5000
Mo  0.5000  0.5000  0.5000
I  0.5000  0.5000  0.0000

Properties
* DOS(E_F): 7.67 states/eV/cell
* total magnetization: 0.973 μB/f.u.

---

two:
The following is a GGA-PBE calculation of a relaxed NiSb2MoI crystal, from Alexandria.

abc: 4.9248 4.9248 5.3097
angles: 90.00 90.00 90.00
Atoms (fractional coordinates):
Ni  0.0000  0.0000  0.0000
Sb  0.0000  0.5000  0.0000
Sb  0.5000  0.0000  0.0000
Mo  0.5000  0.5000  0.5000
I  0.0000  0.0000  0.5000

Properties
* DOS(E_F): 4.36 states/eV/cell
* total magnetization: 3.321 μB/f.u.

---

The computed energies, referenced to the most stable structure and given in meV/atom, are one 92; two 0.